The following is a GGA-PBE calculation of crystalline AlTlS2 at its relaxed geometry, from Alexandria.

a = 6.9255 Å, b = 9.3003 Å, c = 6.3478 Å
α = 90.00°, β = 90.00°, γ = 90.00°
With the nearest neighbours (Å) after each atom.
Space group Pna2_1 (No. 33)
Unique sites:
Al 0.9998 0.1210 0.0000 (multiplicity 4)  4 S 2.25-2.28
Tl 0.0032 0.4031 0.4652 (multiplicity 4)  3 S 3.03-3.07
S 0.0003 0.1018 0.6468 (multiplicity 4)  2 Al 2.25-2.27
S 0.2494 0.7492 0.6357 (multiplicity 4)  2 Al 2.28

Values from the calculation:
Its electronic total energy is -4.437 eV/atom. The formation energy without anion corrections comes out at -3.383 eV per formula unit.